# 1
A relaxed CsZnAgF6 crystal, computed with PBE.

Cell: 7.4763 7.9627 7.6696 Å, 121.27 119.17 90.00°
Closest atoms and distances in Å follow each position.
Atoms (fractional coordinates):
Cs1 0.8943 0.6443 0.7886  6 F 3.17-3.45
F1 0.4155 0.0627 0.2468  1 Zn 2.06, 1 Ag 2.10
F2 0.1687 0.3159 0.7532  1 Zn 2.06, 1 Ag 2.10
Zn1 0.5000 0.0000 0.5000  6 F 1.98-2.06
F3 0.8313 0.0627 0.2468  1 Zn 2.06, 1 Ag 2.10
Zn2 0.0000 0.0000 0.5000  6 F 1.98-2.06
Ag1 0.5000 0.0000 0.0000  6 F 2.10-2.14
F4 0.5845 0.3159 0.7532  1 Zn 2.06, 1 Ag 2.10
F5 0.8112 0.0612 0.6223  2 Zn 1.98
F6 0.5741 0.3241 0.1483  2 Ag 2.14
F7 0.5845 0.9373 0.7532  1 Zn 2.06, 1 Ag 2.10
F8 0.1888 0.9388 0.3777  2 Zn 1.98
F9 0.4155 0.6841 0.2468  1 Zn 2.06, 1 Ag 2.10
Cs2 0.1057 0.3557 0.2114  6 F 3.17-3.45
F10 0.4259 0.6759 0.8517  2 Ag 2.14
F11 0.1687 0.9373 0.7532  1 Zn 2.06, 1 Ag 2.10
Ag2 0.5000 0.5000 0.0000  6 F 2.10-2.14
F12 0.8313 0.6841 0.2468  1 Zn 2.06, 1 Ag 2.10

## Properties
* D(E_F): 6.12 states/eV/cell



# 2
A relaxed Cs2ZnAgF6 crystal, computed with PBE.

Cell: 6.2265 6.2265 6.2265 Å, 60.00 60.00 60.00°
Closest atoms and distances in Å follow each position.
Atoms (fractional coordinates):
F1 0.7651 0.2349 0.2349  1 Zn 2.07
Cs1 0.2500 0.2500 0.2500  12 F 3.12
F2 0.2349 0.7651 0.7651  1 Zn 2.07
Ag1 0.5000 0.5000 0.5000  6 F 2.33
Zn1 0.0000 0.0000 0.0000  6 F 2.07
Cs2 0.7500 0.7500 0.7500  12 F 3.12
F3 0.2349 0.2349 0.7651  1 Zn 2.07
F4 0.7651 0.7651 0.2349  1 Zn 2.07
F5 0.2349 0.7651 0.2349  1 Zn 2.07
F6 0.7651 0.2349 0.7651  1 Zn 2.07

## Properties
* D(E_F): 4.21 states/eV/cell



# 3
A relaxed Cs2ZrAgF6 crystal, computed with PBE.

Cell: 7.0049 7.0049 7.0036 Å, 59.99 59.99 90.00°
Closest atoms and distances in Å follow each position.
Atoms (fractional coordinates):
Ag1 0.0000 0.0000 0.0000  6 F 2.91
Zr1 0.5000 0.5000 0.0000  6 F 2.04
F1 0.2937 0.2937 0.4125  1 Zr 2.04
Cs1 0.2500 0.7500 0.5000  12 F 3.53
F2 0.7062 0.2938 0.0000  1 Zr 2.04
F3 0.7062 0.7062 0.0000  1 Zr 2.04
Cs2 0.7500 0.2500 0.5000  12 F 3.53
F4 0.2938 0.7062 0.0000  1 Zr 2.04
F5 0.7063 0.7063 0.5875  1 Zr 2.04
F6 0.2938 0.2938 0.0000  1 Zr 2.04

## Properties
* D(E_F): 2.38 states/eV/cell



Formation energy from raw total energies for every record listed, in sequence, given in eV per atom: -1.896, -2.163, -2.774.